Here is a relaxed Tc2Cl8F crystal from the Alexandria database. Energies are from GGA-PBE.

Cell and atoms, written as POSCAR:
```
Tc2Cl8F
1.0
6.842 -0.219 1.670
0.891 6.687 2.449
-0.475 -0.047 7.161
F Tc Cl
1 2 8
Cartesian
0.000 0.000 0.000
4.853 0.331 1.879
2.405 6.089 9.401
2.429 4.442 3.704
5.450 5.039 5.433
2.553 0.812 1.900
4.705 5.608 9.380
1.808 1.381 5.847
4.829 1.977 7.575
5.254 1.537 3.720
2.004 4.883 7.560
```

Computed properties:
calculated total energy: -4.15 eV per atom
space-group type: C2/m, No. 12
total magnetization: 5.0 μB/f.u.